Entry 1:
Entry from Alexandria via LeMat-Bulk: an optimized crystal structure of Dy2HoSc7 (PBE).

Cell: 13.8715 13.8715 3.3208 Å, 90.00 90.00 154.89°
Element x y z (fractional)
Dy 0.2107 0.7893 0.0000
Dy 0.7893 0.2107 0.0000
Ho 0.5000 0.5000 0.5000
Sc 0.0000 0.0000 0.0000
Sc 0.1547 0.3516 0.0000
Sc 0.3181 0.6819 0.5000
Sc 0.3516 0.1547 0.0000
Sc 0.6484 0.8453 0.0000
Sc 0.6819 0.3181 0.5000
Sc 0.8453 0.6484 0.0000

Values from the calculation:
- E above lowest polymorph (meV/atom) = 0
- energy of formation from the pure elements (eV/f.u.) = 1.5
- M_tot (μB per formula unit) = 0.021
- electronic total energy (eV/atom) = -5.661
- D(E_F) (states/eV per atom) = 1.52
- SG = Cmmm (65)


Entry 2:
Entry from Alexandria via LeMat-Bulk: an optimized crystal structure of Sm2Ge5Os3 (PBE).

Cell: 8.5222 8.5222 8.5222 Å, 108.24 85.84 139.42°
Element x y z (fractional)
Sm 0.1389 0.2309 0.3698
Sm 0.3611 0.7309 0.0920
Sm 0.6389 0.2691 0.9080
Sm 0.8611 0.7691 0.6302
Ge 0.0402 0.7500 0.2902
Ge 0.0882 0.6725 0.7607
Ge 0.2500 0.2500 0.0000
Ge 0.4118 0.1725 0.5843
Ge 0.4598 0.7500 0.7098
Ge 0.5402 0.2500 0.2902
Ge 0.5882 0.8275 0.4157
Ge 0.7500 0.7500 0.0000
Ge 0.9118 0.3275 0.2393
Ge 0.9598 0.2500 0.7098
Os 0.1473 0.9038 0.0511
Os 0.2500 0.7500 0.5000
Os 0.3527 0.4038 0.7564
Os 0.6473 0.5962 0.2436
Os 0.7500 0.2500 0.5000
Os 0.8527 0.0962 0.9489

Values from the calculation:
- energy of formation from the pure elements (eV/f.u.) = -4.6
- M_tot (μB per formula unit) = 0.000
- electronic total energy (eV/atom) = -7.078
- D(E_F) (states/eV per atom) = 0.30
- SG = Ibam (72)


Entry 3:
Entry from Alexandria via LeMat-Bulk: an optimized crystal structure of BaPbCl6 (PBE).

Cell: 6.8868 6.8868 12.8818 Å, 90.00 90.00 120.00°
Element x y z (fractional)
Ba 0.3333 0.6667 0.2500
Ba 0.6667 0.3333 0.7500
Pb 0.0000 0.0000 0.0000
Pb 0.0000 0.0000 0.5000
Cl 0.0440 0.3268 0.6143
Cl 0.0440 0.7172 0.8857
Cl 0.2828 0.3268 0.8857
Cl 0.2828 0.9560 0.6143
Cl 0.3268 0.0440 0.1143
Cl 0.3268 0.2828 0.3857
Cl 0.6732 0.7172 0.6143
Cl 0.6732 0.9560 0.8857
Cl 0.7172 0.0440 0.3857
Cl 0.7172 0.6732 0.1143
Cl 0.9560 0.2828 0.1143
Cl 0.9560 0.6732 0.3857

Values from the calculation:
- energy relative to the elements, uncorrected (eV per atom) = -1.3057
- M_tot (μB per formula unit) = 0.000
- electronic total energy (eV/atom) = -3.395
- SG = P-31c (163)


> Which value of M_tot does entry 3 give?

0.000 μB per formula unit